Record 1
This record from Alexandria via LeMat-Bulk describes a relaxed LiAcZnAs crystal. The functional is PBE-GGA.

V	97.6	Å³ per cell
ρ	6.4	g/cm3
ΔE_f	-499	meV/atom
Fermi-level density of states	2.62	states/eV per cell
M_tot	0.00	μB/f.u.
SG	F-43m (216)
crystal system	cubic

a = 5.168 Å, b = 5.168 Å, c = 5.168 Å
α = 60.00°, β = 60.00°, γ = 60.00°
Atoms (fractional coordinates):
1 Li 0.000 0.000 0.000
2 Ac 0.500 0.500 0.500
3 Zn 0.250 0.250 0.250
4 As 0.750 0.750 0.750



Record 2
This record from Alexandria via LeMat-Bulk describes a relaxed AcLu2As crystal. The functional is PBE-GGA.

V	132.5	Å³ per cell
ρ	8.2	g/cm3
ΔE_f	-422	meV/atom
Fermi-level density of states	3.31	states/eV per cell
M_tot	0.00	μB/f.u.
SG	R-3m (166)
crystal system	trigonal

a = 10.870 Å, b = 10.870 Å, c = 10.870 Å
α = 20.08°, β = 20.08°, γ = 20.08°
Atoms (fractional coordinates):
1 Ac 0.000 0.000 0.000
2 Lu 0.114 0.114 0.114
3 Lu 0.886 0.886 0.886
4 As 0.500 0.500 0.500



Record 3
This record from Alexandria via LeMat-Bulk describes a relaxed AcMgAs2 crystal. The functional is PBE-GGA.

V	97.0	Å³ per cell
ρ	6.9	g/cm3
ΔE_f	-585	meV/atom
Fermi-level density of states	3.01	states/eV per cell
M_tot	0.00	μB/f.u.
SG	P4/mmm (123)
crystal system	tetragonal

a = 3.798 Å, b = 3.798 Å, c = 6.722 Å
α = 90.00°, β = 90.00°, γ = 90.00°
Atoms (fractional coordinates):
1 Ac 0.000 0.000 0.000
2 Mg 0.000 0.000 0.500
3 As 0.500 0.500 0.293
4 As 0.500 0.500 0.707



Record 4
This record from Alexandria via LeMat-Bulk describes a relaxed AcMgAs2 crystal. The functional is PBE-GGA.

V	100.9	Å³ per cell
ρ	6.6	g/cm3
ΔE_f	-683	meV/atom
Fermi-level density of states	2.83	states/eV per cell
M_tot	0.00	μB/f.u.
SG	P4/mmm (123)
crystal system	tetragonal

a = 4.995 Å, b = 4.995 Å, c = 4.043 Å
α = 90.00°, β = 90.00°, γ = 90.00°
Atoms (fractional coordinates):
1 Ac 0.000 0.000 0.000
2 Mg 0.500 0.500 0.000
3 As 0.000 0.500 0.500
4 As 0.500 0.000 0.500



Record 5
This record from Alexandria via LeMat-Bulk describes a relaxed AcMg2As crystal. The functional is PBE-GGA.

V	110.3	Å³ per cell
ρ	5.3	g/cm3
ΔE_f	-441	meV/atom
Fermi-level density of states	1.72	states/eV per cell
M_tot	0.00	μB/f.u.
SG	P4/mmm (123)
crystal system	tetragonal

a = 4.516 Å, b = 4.516 Å, c = 5.407 Å
α = 90.00°, β = 90.00°, γ = 90.00°
Atoms (fractional coordinates):
1 Ac 0.000 0.000 0.000
2 Mg 0.000 0.500 0.500
3 Mg 0.500 0.000 0.500
4 As 0.500 0.500 0.000



Record 6
This record from Alexandria via LeMat-Bulk describes a relaxed AcMg5As4 crystal. The functional is PBE-GGA.

V	254.4	Å³ per cell
ρ	4.2	g/cm3
ΔE_f	-643	meV/atom
Fermi-level density of states	2.45	states/eV per cell
M_tot	0.00	μB/f.u.
SG	Immm (71)
crystal system	orthorhombic

a = 8.753 Å, b = 8.753 Å, c = 8.753 Å
α = 151.39°, β = 126.99°, γ = 61.35°
Atoms (fractional coordinates):
1 Ac 0.000 0.000 0.000
2 Mg 0.044 0.328 0.716
3 Mg 0.388 0.672 0.716
4 Mg 0.500 0.000 0.500
5 Mg 0.612 0.328 0.284
6 Mg 0.956 0.672 0.284
7 As 0.219 0.219 0.000
8 As 0.283 0.500 0.783
9 As 0.717 0.500 0.217
10 As 0.781 0.781 0.000



Number 4 is which compound? AcMgAs2



What is the formula in the fifth record? AcMg2As



Look up the M_tot of the third one. 0.00 μB/f.u.